<one>
Crystalline NaLiIN2 at its relaxed geometry, computed with PBE-GGA.

Cell and atoms, written as extended XYZ:
```
5
Lattice="-3.913 -1.870 -0.770 1.786 -2.410 -3.225 1.270 -4.256 3.884" Properties=species:S:1:pos:R:3 pbc="T T T"
Na -0.429 -4.268 -0.056
I 0.635 -2.128 1.942
N 0.893 -1.205 -1.613
N -1.957 -0.935 -0.385
Li 0.000 0.000 0.000
```

Summary:
- Crystal system: tetragonal
- Symmetry: No. 123

=====

<two>
Crystalline NaLiIN2 at its relaxed geometry, computed with PBE-GGA.

Cell and atoms, written as extended XYZ:
```
5
Lattice="4.616 0.000 0.000 0.000 4.616 0.000 0.000 0.000 6.563" Properties=species:S:1:pos:R:3 pbc="T T T"
Na 0.000 0.000 0.000
N 0.000 2.308 0.000
N 2.308 0.000 0.000
Li 2.308 2.308 3.282
I 0.000 0.000 3.282
```

Summary:
- Crystal system: tetragonal
- Symmetry: No. 123

=====

Verdict on stability: <one> comes out on top.

=====

<one>
Crystalline LiNbI2N at its relaxed geometry, computed with PBE-GGA.

Cell and atoms, written as extended XYZ:
```
5
Lattice="-0.292 4.065 3.232 -4.616 -1.688 1.705 1.643 -1.913 2.554" Properties=species:S:1:pos:R:3 pbc="T T T"
I -2.308 -0.844 0.853
I -0.146 2.033 1.616
N 0.822 -0.956 1.277
Li 0.000 0.000 0.000
Nb -1.632 0.232 3.746
```

Summary:
- Crystal system: tetragonal
- Symmetry: No. 123

=====

<two>
Crystalline LiNbI2N at its relaxed geometry, computed with PBE-GGA.

Cell and atoms, written as extended XYZ:
```
5
Lattice="-0.594 -5.778 -0.593 4.151 -0.839 4.019 -2.759 -0.008 2.848" Properties=species:S:1:pos:R:3 pbc="T T T"
Li 0.399 -3.313 3.137
Nb 0.000 0.000 0.000
I -0.297 -2.889 -0.296
I 2.076 -0.419 2.010
N -1.380 -0.004 1.424
```

Summary:
- Crystal system: tetragonal
- Symmetry: No. 123

=====

Verdict on stability: <two> comes out on top.

=====

<one>
Crystalline LiNiIN2 at its relaxed geometry, computed with PBE-GGA.

Cell and atoms, written as extended XYZ:
```
5
Lattice="-3.379 -0.827 1.307 -0.135 -2.971 -2.229 2.422 -3.261 4.200" Properties=species:S:1:pos:R:3 pbc="T T T"
Ni -0.546 -3.529 1.639
Li 0.000 0.000 0.000
N -0.068 -1.485 -1.114
N -1.690 -0.413 0.654
I 1.211 -1.631 2.100
```

Summary:
- Crystal system: tetragonal
- Symmetry: No. 123

=====

<two>
Crystalline LiNiIN2 at its relaxed geometry, computed with PBE-GGA.

Cell and atoms, written as extended XYZ:
```
5
Lattice="-1.266 3.340 -0.589 -1.072 0.202 3.452 7.168 3.078 2.046" Properties=species:S:1:pos:R:3 pbc="T T T"
Li 2.415 3.310 2.454
Ni 0.000 0.000 0.000
N -0.633 1.670 -0.294
N -0.536 0.101 1.726
I 3.584 1.539 1.023
```

Summary:
- Crystal system: tetragonal
- Symmetry: No. 123

=====

Verdict on stability: <two> comes out on top.

=====

<one>
Crystalline LiOsIN2 at its relaxed geometry, computed with PBE-GGA.

Cell and atoms, written as extended XYZ:
```
5
Lattice="3.837 0.000 0.000 0.000 3.837 0.000 0.000 0.000 5.945" Properties=species:S:1:pos:R:3 pbc="T T T"
Os 0.000 0.000 0.000
Li 1.918 1.918 2.973
I 0.000 0.000 2.973
N 1.918 0.000 0.000
N 0.000 1.918 0.000
```

Summary:
- Crystal system: tetragonal
- Symmetry: No. 123

=====

<two>
Crystalline LiOsIN2 at its relaxed geometry, computed with PBE-GGA.

Cell and atoms, written as extended XYZ:
```
5
Lattice="3.868 0.000 0.000 0.000 3.868 0.000 0.000 0.000 4.799" Properties=species:S:1:pos:R:3 pbc="T T T"
N 1.934 0.000 0.000
N 0.000 1.934 0.000
I 0.000 0.000 2.400
Os 1.934 1.934 2.400
Li 0.000 0.000 0.000
```

Summary:
- Crystal system: tetragonal
- Symmetry: No. 123

=====

Verdict on stability: <one> comes out on top.